Density functional theory data (PBE) for a relaxed structure of LiAg8Pd6.

Geometry as POSCAR:
```
LiAg8Pd6
1.0
-2.3143 2.2889 -3.7040
-6.9893 -3.2828 2.3384
2.2991 7.1386 2.9748
Li Ag Pd
1 8 6
Direct
0.5000 0.0000 0.0000
0.9144 0.9875 0.3150
0.9144 0.6850 0.6726
0.9144 0.3274 0.0125
0.0856 0.0125 0.6850
0.0856 0.3150 0.3274
0.0856 0.6726 0.9875
0.9034 0.3333 0.6667
0.0966 0.6667 0.3333
0.5770 0.6802 0.1404
0.5770 0.8596 0.5398
0.5770 0.4602 0.3198
0.4230 0.3198 0.8596
0.4230 0.1404 0.4602
0.4230 0.5398 0.6802
```

Summary:
Symmetry: P-3, No. 147
Total DFT energy (no corrections) (eV per atom): -3.615
Polymorph energy (0 for the lowest one) (kJ/mol of atoms): 0.7
Energy of formation (eV/atom): 0.110